Record 1
Density functional theory data (PBE) for crystalline Be2AsPbO6 at its relaxed geometry.

Cell lengths 5.316, 7.199, 7.199 Å; angles 96.68, 74.75, 74.75 degrees
Element x y z (fractional)
Be 0.346 0.851 0.696
Be 0.154 0.304 0.149
Be 0.654 0.149 0.304
Be 0.846 0.696 0.851
As 0.250 0.310 0.690
As 0.750 0.690 0.310
Pb 0.250 0.880 0.120
Pb 0.750 0.120 0.880
O 0.190 0.083 0.657
O 0.310 0.343 0.917
O 0.810 0.917 0.343
O 0.690 0.657 0.083
O 0.453 0.708 0.483
O 0.047 0.517 0.292
O 0.547 0.292 0.517
O 0.953 0.483 0.708
O 0.070 0.816 0.855
O 0.430 0.145 0.184
O 0.930 0.184 0.145
O 0.570 0.855 0.816



Record 2
Density functional theory data (PBE) for crystalline BeAs2PbO6 at its relaxed geometry.

Cell lengths 6.982, 7.062, 7.062 Å; angles 78.47, 63.83, 63.83 degrees
Element x y z (fractional)
Be 0.250 0.201 0.799
Be 0.750 0.799 0.201
As 0.366 0.754 0.650
As 0.134 0.350 0.246
As 0.634 0.246 0.350
As 0.866 0.650 0.754
Pb 0.250 0.824 0.176
Pb 0.750 0.176 0.824
O 0.207 0.987 0.799
O 0.293 0.201 0.013
O 0.793 0.013 0.201
O 0.707 0.799 0.987
O 0.498 0.814 0.385
O 0.002 0.615 0.186
O 0.502 0.186 0.615
O 0.998 0.385 0.814
O 0.094 0.748 0.612
O 0.406 0.388 0.252
O 0.906 0.252 0.388
O 0.594 0.612 0.748



Record 3
Density functional theory data (PBE) for crystalline PmBe2AsO8 at its relaxed geometry.

Cell lengths 5.080, 5.080, 6.478 Å; angles 90.00, 90.00, 120.00 degrees
Site moments in Bohr magnetons follow the coordinates.
Element x y z (fractional)
Pm 0.000 0.000 0.500  -0.03
Be 0.667 0.333 0.236  -0.02
Be 0.333 0.667 0.764  -0.02
As 0.000 0.000 0.000  -0.03
O 0.842 0.158 0.181  0.32
O 0.842 0.683 0.181  0.32
O 0.317 0.158 0.181  0.32
O 0.683 0.842 0.819  0.32
O 0.333 0.667 0.509  0.75
O 0.667 0.333 0.491  0.75
O 0.158 0.842 0.819  0.32
O 0.158 0.317 0.819  0.32



Record 4
Density functional theory data (PBE) for crystalline PmBeAsO at its relaxed geometry.

Cell lengths 3.927, 3.927, 10.187 Å; angles 90.00, 90.00, 120.00 degrees
Element x y z (fractional)
Pm 0.333 0.667 0.931
Pm 0.667 0.333 0.431
Be 0.000 0.000 0.154
Be 0.000 0.000 0.654
As 0.667 0.333 0.729
As 0.333 0.667 0.229
O 0.000 0.000 0.498
O 0.000 0.000 0.998



Q: Which formation energy without anion corrections values were calculated for the entries above? A: -1.670 -1.409 -1.523 -1.889, in eV per atom.